Material: ZrAuSe
Method: DFT, PBE-GGA
State: optimized geometry

```
ZrAuSe
1.0
6.4131 0.0000 0.0000
0.0000 6.4131 0.0000
0.0000 0.0000 6.4131
Zr Au Se
4 4 4
Direct
0.0000 0.0000 0.0000 Zr
0.0000 0.5000 0.5000 Zr
0.5000 0.0000 0.5000 Zr
0.5000 0.5000 0.0000 Zr
0.0000 0.0000 0.5000 Au
0.0000 0.5000 0.0000 Au
0.5000 0.0000 0.0000 Au
0.5000 0.5000 0.5000 Au
0.2500 0.2500 0.2500 Se
0.2500 0.7500 0.7500 Se
0.7500 0.2500 0.7500 Se
0.7500 0.7500 0.2500 Se
```

energy relative to the lowest polymorph listed for this composition: 1.62 eV/f.u.
ΔE_f (raw): -265 meV per atom
Fermi-level density of states: 1.083 states/eV/atom
total moment: 0.00 μB/cell


Material: KSrRu2
Method: DFT, PBE-GGA
State: optimized geometry

```
KSrRu2
1.0
7.1028 0.0000 0.0000
0.0000 4.0975 0.0000
-2.0161 0.0000 9.1212
K Sr Ru
2 2 4
Direct
0.0000 0.0000 0.0000 K
0.5000 0.5000 0.0000 K
0.3461 0.5000 0.4665 Sr
0.8461 0.0000 0.4665 Sr
0.0755 0.5000 0.6843 Ru
0.2569 0.0000 0.7361 Ru
0.5755 0.0000 0.6843 Ru
0.7569 0.5000 0.7361 Ru
```

energy relative to the lowest polymorph listed for this composition: 0.00 eV/f.u.
Fermi-level density of states: 0.624 states/eV/atom
total moment: 0.00 μB/cell


Material: Cs2UBrCl6
Method: DFT, PBE-GGA
State: optimized geometry

```
Cs2UBrCl6
1.0
4.0977 2.3658 13.5126
-4.0977 2.3658 13.5126
0.0000 -4.7316 13.5126
Cs U Br Cl
4 2 2 12
Direct
0.1244 0.1244 0.1244 Cs
0.2583 0.2583 0.2583 Cs
0.7417 0.7417 0.7417 Cs
0.8756 0.8756 0.8756 Cs
0.0000 0.0000 0.0000 U
0.5000 0.5000 0.5000 U
0.4299 0.4299 0.4299 Br
0.5701 0.5701 0.5701 Br
0.1155 0.6573 0.6573 Cl
0.1820 0.1820 0.7463 Cl
0.1820 0.7463 0.1820 Cl
0.2537 0.8180 0.8180 Cl
0.3427 0.3427 0.8845 Cl
0.3427 0.8845 0.3427 Cl
0.6573 0.1155 0.6573 Cl
0.6573 0.6573 0.1155 Cl
0.7463 0.1820 0.1820 Cl
0.8180 0.2537 0.8180 Cl
0.8180 0.8180 0.2537 Cl
0.8845 0.3427 0.3427 Cl
```

ΔE_f (raw): -1686 meV per atom
Fermi-level density of states: 0.474 states/eV/atom
total moment: 2.00 μB/cell


Material: PrSmMgAl
Method: DFT, PBE-GGA
State: optimized geometry

```
PrSmMgAl
1.0
7.5749 0.0000 0.0000
0.0000 7.5749 0.0000
0.0000 0.0000 7.5749
Pr Sm Mg Al
4 4 4 4
Direct
0.0000 0.0000 0.0000 Pr
0.0000 0.5000 0.5000 Pr
0.5000 0.0000 0.5000 Pr
0.5000 0.5000 0.0000 Pr
0.0000 0.0000 0.5000 Sm
0.0000 0.5000 0.0000 Sm
0.5000 0.0000 0.0000 Sm
0.5000 0.5000 0.5000 Sm
0.2500 0.2500 0.7500 Mg
0.2500 0.7500 0.2500 Mg
0.7500 0.2500 0.2500 Mg
0.7500 0.7500 0.7500 Mg
0.2500 0.2500 0.2500 Al
0.2500 0.7500 0.7500 Al
0.7500 0.2500 0.7500 Al
0.7500 0.7500 0.2500 Al
```

Fermi-level density of states: 0.786 states/eV/atom
total energy: -3.965 eV/atom
total moment: 0.00 μB/cell


Material: CeAgPd6
Method: DFT, PBE-GGA
State: optimized geometry

```
CeAgPd6
1.0
4.1240 0.0000 0.0000
0.0000 4.1240 0.0000
0.0000 0.0000 7.9884
Ce Ag Pd
1 1 6
Direct
0.0000 0.0000 0.0000 Ce
0.0000 0.0000 0.5000 Ag
0.0000 0.5000 0.2526 Pd
0.0000 0.5000 0.7474 Pd
0.5000 0.0000 0.2526 Pd
0.5000 0.0000 0.7474 Pd
0.5000 0.5000 0.0000 Pd
0.5000 0.5000 0.5000 Pd
```

energy relative to the lowest polymorph listed for this composition: 0.00 eV/f.u.
Fermi-level density of states: 0.773 states/eV/atom
total moment: 0.00 μB/cell


Material: Pd2Pt3Rh2
Method: DFT, PBE-GGA
State: optimized geometry

```
Pd2Pt3Rh2
1.0
8.7919 0.0000 0.0000
0.0000 3.9231 0.0000
-0.8475 0.0000 6.1368
Pd Pt Rh
4 6 4
Direct
0.2129 0.0000 0.1461 Pd
0.2871 0.5000 0.8539 Pd
0.7129 0.5000 0.1461 Pd
0.7871 0.0000 0.8539 Pd
0.0000 0.5000 0.0000 Pt
0.0726 0.0000 0.7108 Pt
0.4274 0.5000 0.2892 Pt
0.5000 0.0000 0.0000 Pt
0.5726 0.5000 0.7108 Pt
0.9274 0.0000 0.2892 Pt
0.1418 0.5000 0.4331 Rh
0.3582 0.0000 0.5669 Rh
0.6418 0.0000 0.4331 Rh
0.8582 0.5000 0.5669 Rh
```

Fermi-level density of states: 2.022 states/eV/atom
total energy: -6.178 eV/atom
total moment: 0.00 μB/cell